(1)
# RbCdH2I3O

RbCdH2I3O at its PBEsol-relaxed geometry (SCAN, Alexandria via LeMat-Bulk).

Geometry as POSCAR:
```
RbCdH2I3O
1.0
5.4640 -5.1011 0.0000
5.4640 5.1011 0.0000
-0.0608 0.0000 8.5261
Rb Cd H I O
2 2 4 6 2
direct
0.1311 0.8689 0.5000
0.8689 0.1311 0.0000
0.5797 0.6377 0.1540
0.6377 0.5797 0.6540
0.0877 0.7659 0.8826
0.2367 0.8995 0.8975
0.7659 0.0877 0.3826
0.8995 0.2367 0.3975
0.4218 0.9799 0.1502
0.4376 0.4457 0.4025
0.4457 0.4376 0.9025
0.6116 0.9482 0.6475
0.9482 0.6116 0.1475
0.9799 0.4218 0.6502
0.1266 0.8779 0.8375
0.8779 0.1266 0.3375
```

Computed properties:
* raw total energy: -22.867 eV per atom
* space group: Cc, No. 9

=====

(2)
# CaMgGe3

CaMgGe3 at its PBEsol-relaxed geometry (SCAN, Alexandria via LeMat-Bulk).

Geometry as POSCAR:
```
CaMgGe3
1.0
4.9658 0.0000 0.0000
0.0000 4.9658 0.0000
0.0000 0.0000 4.9658
Ca Mg Ge
1 1 3
direct
0.0000 0.0000 0.0000
0.5000 0.5000 0.5000
0.0000 0.5000 0.5000
0.5000 0.0000 0.5000
0.5000 0.5000 0.0000
```

Computed properties:
* space group: Pm-3m, No. 221
* calculated formation energy: 0.229 eV/atom

=====

(3)
# Mn2AsBr

Mn2AsBr at its PBEsol-relaxed geometry (SCAN, Alexandria via LeMat-Bulk).

Geometry as POSCAR:
```
Mn2AsBr
1.0
4.5029 0.0000 0.0000
0.0000 4.5029 0.0000
0.0000 0.0000 3.0802
Mn As Br
2 1 1
direct
0.0000 0.5000 0.0000
0.5000 0.0000 0.0000
0.0000 0.0000 0.5000
0.5000 0.5000 0.5000
```

Computed properties:
* space group: P4/mmm, No. 123
* formation energy from raw total energies: 0.0629 eV/atom
* distance to the lowest polymorph of the same formula: 544 meV/atom

=====

(4)
# BeInAs2

BeInAs2 at its PBEsol-relaxed geometry (SCAN, Alexandria via LeMat-Bulk).

Geometry as POSCAR:
```
BeInAs2
1.0
0.0000 3.3077 3.3077
3.3077 0.0000 3.3077
3.3077 3.3077 0.0000
Be In As
1 1 2
direct
0.0000 0.0000 0.0000
0.5000 0.5000 0.5000
0.2500 0.2500 0.2500
0.7500 0.7500 0.7500
```

Computed properties:
* space group: Fm-3m, No. 225
* calculated formation energy: 0.585 eV/atom